Entry 1:
Entry from Alexandria: a geometry-optimized Mg2CrH structure (GGA-PBEsol).

As for the density of states at the Fermi level: 0.394 states/eV/atom.

The space group is I-42d (No. 122) and the conventional cell measures 6.884, 6.884 and 5.224 Å, with angles of 90.00, 90.00 and 90.00 degrees. Symmetry generates all atoms from Mg at (0.157, 0.250, 0.125), Cr at (0.000, 0.000, 0.500) and H at (0.000, 0.000, 0.000).

Entry 2:
Entry from Alexandria: a geometry-optimized MgSc2P structure (GGA-PBEsol).

Its energy relative to the lowest polymorph listed for this composition is 0 meV/atom. The value obtained for the formation energy is -14.554 kcal/mol of atoms. As for the density of states at the Fermi level: 0.817 states/eV/atom.

The space group is P4/mmm (No. 123) and the conventional cell measures 3.475, 3.475 and 6.151 Å, with angles of 90.00, 90.00 and 90.00 degrees. Symmetry generates all atoms from Mg at (0.000, 0.000, 0.000), Sc at (0.500, 0.500, 0.277) and P at (0.000, 0.000, 0.500).

Entry 3:
Entry from Alexandria: a geometry-optimized Ta2CoWF structure (GGA-PBEsol).

The energy relative to the elements, uncorrected is 1.1317 eV/atom. As for the density of states at the Fermi level: 0.857 states/eV/atom.

The space group is P4/mmm (No. 123) and the conventional cell measures 4.555, 4.555 and 4.406 Å, with angles of 90.00, 90.00 and 90.00 degrees. Symmetry generates all atoms from Ta at (0.000, 0.500, 0.000), Co at (0.000, 0.000, 0.000), W at (0.000, 0.000, 0.500) and F at (0.500, 0.500, 0.500).

Entry 4:
Entry from Alexandria: a geometry-optimized CoSb2As structure (GGA-PBEsol).

The energy relative to the elements, uncorrected is 0.4695 eV/atom. As for the density of states at the Fermi level: 0.776 states/eV/atom.

The space group is I4/mmm (No. 139) and the conventional cell measures 4.517, 4.517 and 7.512 Å, with angles of 90.00, 90.00 and 90.00 degrees. Symmetry generates all atoms from Co at (0.000, 0.000, 0.000), Sb at (0.000, 0.500, 0.250) and As at (0.000, 0.000, 0.500).

Entry 5:
Entry from Alexandria: a geometry-optimized Cu3P structure (GGA-PBEsol).

The value obtained for the formation energy is 1.417 kcal/mol of atoms. As for the density of states at the Fermi level: 0.272 states/eV/atom.

The space group is C2/m (No. 12) and the conventional cell measures 8.146, 2.629 and 4.437 Å, with angles of 90.00, 99.04 and 90.00 degrees. Symmetry generates all atoms from Cu at (0.000, 0.000, 0.000), Cu at (0.248, 0.000, 0.747) and P at (0.000, 0.500, 0.500).

Entry 6:
Entry from Alexandria: a geometry-optimized MgBrN2 structure (GGA-PBEsol).

The energy relative to the elements, uncorrected is 1.4087 eV/atom. As for the density of states at the Fermi level: 0.307 states/eV/atom.

The space group is R-3m (No. 166, hexagonal axes) and the conventional cell measures 3.3567, 3.3567 and 18.2566 Å, with angles of 90.00, 90.00 and 120.00 degrees. Symmetry generates all atoms from Mg at (0.0000, 0.0000, 0.0000), Br at (0.0000, 0.0000, 0.5000) and N at (0.0000, 0.0000, 0.1094).

VASP energy values (in eV/atom) by entry order: -3.697 -5.811 -8.583 -5.020 -4.637 -3.751.
Magnetization values (in Bohr magnetons per cell) by entry order: 15.93 0.00 0.36 1.50 0.00 0.00.